First-principles (PBE-GGA) data for a relaxed Tb12CuNi6 crystal, as listed in Alexandria.

```
Tb12CuNi6
1.0
-4.832 4.832 4.832
4.832 -4.832 4.832
4.832 4.832 -4.832
Tb Cu Ni
12 1 6
direct
0.116 0.301 0.814 Tb
0.186 0.487 0.301 Tb
0.186 0.884 0.699 Tb
0.301 0.186 0.487 Tb
0.301 0.814 0.116 Tb
0.487 0.301 0.186 Tb
0.513 0.699 0.814 Tb
0.699 0.186 0.884 Tb
0.699 0.814 0.513 Tb
0.814 0.116 0.301 Tb
0.814 0.513 0.699 Tb
0.884 0.699 0.186 Tb
0.000 0.000 0.000 Cu
0.125 0.500 0.625 Ni
0.375 0.875 0.500 Ni
0.500 0.375 0.875 Ni
0.500 0.625 0.125 Ni
0.625 0.125 0.500 Ni
0.875 0.500 0.375 Ni
```

Results
DFT formation energy   -504 kJ/mol of formula units
Energy above the lowest structure with this stoichiometry   0 meV per atom
Total magnetic moment   0.00 μB per formula unit